1.
A plane-wave DFT calculation with GGA-PBE was carried out for an optimized crystal structure of CaMo.

Properties
energy of formation = 0.49 eV/atom
relative energy among the computed polymorphs = 128.8 meV per atom

Cell lengths 6.0526, 6.0526, 6.0526 Å; angles 146.73, 125.94, 64.97 degrees
Atoms (fractional coordinates):
Ca 0.3543 0.1043 0.2500
Ca 0.6457 0.8957 0.7500
Mo 0.0799 0.3299 0.7500
Mo 0.9201 0.6701 0.2500


2.
A plane-wave DFT calculation with GGA-PBE was carried out for an optimized crystal structure of CaMo.

Properties
energy of formation = 0.58 eV/atom
relative energy among the computed polymorphs = 216.5 meV per atom

Cell lengths 4.4428, 4.4428, 7.7885 Å; angles 94.05, 94.05, 42.42 degrees
Atoms (fractional coordinates):
Ca 0.1109 0.1109 0.3071
Ca 0.8891 0.8891 0.6929
Mo 0.3625 0.3625 0.0592
Mo 0.6375 0.6375 0.9408


3.
A plane-wave DFT calculation with GGA-PBE was carried out for an optimized crystal structure of CaMo.

Properties
energy of formation = 1.38 eV/atom
relative energy among the computed polymorphs = 1016.6 meV per atom

Cell lengths 5.6894, 5.6894, 5.6894 Å; angles 90.00, 90.00, 90.00 degrees
Atoms (fractional coordinates):
Ca 0.0958 0.4042 0.5958
Ca 0.4042 0.5958 0.0958
Ca 0.5958 0.0958 0.4042
Ca 0.9042 0.9042 0.9042
Mo 0.1088 0.8912 0.3912
Mo 0.3912 0.1088 0.8912
Mo 0.6088 0.6088 0.6088
Mo 0.8912 0.3912 0.1088


4.
A plane-wave DFT calculation with GGA-PBE was carried out for an optimized crystal structure of CaMo.

Properties
energy of formation = 2.67 eV/atom
relative energy among the computed polymorphs = 2310.3 meV per atom

Cell lengths 8.8568, 8.8568, 8.8568 Å; angles 90.00, 90.00, 90.00 degrees
Atoms (fractional coordinates):
Ca 0.0000 0.2500 0.5000
Ca 0.0000 0.7500 0.5000
Ca 0.2500 0.5000 0.0000
Ca 0.5000 0.0000 0.2500
Ca 0.5000 0.0000 0.7500
Ca 0.7500 0.5000 0.0000
Mo 0.0000 0.5000 0.2500
Mo 0.0000 0.5000 0.7500
Mo 0.2500 0.0000 0.5000
Mo 0.5000 0.2500 0.0000
Mo 0.5000 0.7500 0.0000
Mo 0.7500 0.0000 0.5000